# 1
Density functional theory data (PBE) for crystalline Al2ZnGa2Ni5 at its relaxed geometry.

abc: 9.932 9.932 2.718
angles: 90.00 90.00 90.00
Element x y z (fractional)
Al: 0.148 0.352 0.000
Al: 0.352 0.852 0.000
Al: 0.648 0.148 0.000
Al: 0.852 0.648 0.000
Zn: 0.000 0.000 0.000
Zn: 0.500 0.500 0.000
Ga: 0.145 0.645 0.000
Ga: 0.355 0.145 0.000
Ga: 0.645 0.855 0.000
Ga: 0.855 0.355 0.000
Ni: 0.000 0.500 0.500
Ni: 0.146 0.851 0.500
Ni: 0.149 0.146 0.500
Ni: 0.351 0.646 0.500
Ni: 0.354 0.351 0.500
Ni: 0.500 0.000 0.500
Ni: 0.646 0.649 0.500
Ni: 0.649 0.354 0.500
Ni: 0.851 0.854 0.500
Ni: 0.854 0.149 0.500

Results
* SG: No. 127
* density of states at the Fermi level: 5.34 states/eV/f.u.
* magnetic moment: 0.000 μB per formula unit
* theoretical density: 6.84 g cm⁻³
* DFT formation energy: -0.26 eV/atom


# 2
Density functional theory data (PBE) for crystalline K2SmZrSe4 at its relaxed geometry.

abc: 7.146 4.088 8.093
angles: 90.00 106.80 90.00
Element x y z (fractional)
K: 0.000 0.000 0.000
K: 0.500 0.500 0.000
Sm: 0.000 0.500 0.500
Zr: 0.500 0.000 0.500
Se: 0.252 0.000 0.710
Se: 0.280 0.500 0.297
Se: 0.720 0.500 0.703
Se: 0.748 0.000 0.290

Results
* SG: No. 10
* uncorrected formation energy: -1.518 eV/atom
* density of states at the Fermi level: 3.30 states/eV/f.u.
* magnetic moment: 0.000 μB per formula unit
* theoretical density: 4.66 g cm⁻³


# 3
Density functional theory data (PBE) for crystalline ScCdBr2 at its relaxed geometry.

abc: 5.333 5.333 3.589
angles: 90.00 90.00 102.11
Element x y z (fractional)
Sc: 0.000 0.000 0.000
Cd: 0.500 0.500 0.000
Br: 0.000 0.500 0.500
Br: 0.500 0.000 0.500

Results
* SG: No. 65
* uncorrected formation energy: -0.422 eV/atom
* density of states at the Fermi level: 2.11 states/eV/f.u.
* magnetic moment: 0.003 μB per formula unit
* theoretical density: 5.28 g cm⁻³


# 4
Density functional theory data (PBE) for crystalline SnSbRh2Pb at its relaxed geometry.

abc: 4.934 4.934 5.594
angles: 90.00 90.00 90.00
Element x y z (fractional)
Sn: 0.000 0.000 0.000
Sb: 0.500 0.500 0.500
Rh: 0.000 0.500 0.000
Rh: 0.500 0.000 0.000
Pb: 0.000 0.000 0.500

Results
* SG: No. 123
* uncorrected formation energy: 0.828 eV/atom
* density of states at the Fermi level: 5.59 states/eV/f.u.
* magnetic moment: 0.000 μB per formula unit
* theoretical density: 7.97 g cm⁻³


| no. | uncorrected energy (eV/atom) |
| --- | --- |
| 1 | -4.63 |
| 2 | -5.19 |
| 3 | -3.07 |
| 4 | -4.48 |